## a
Entry from Alexandria via LeMat-Bulk: Hg3BiO after structural relaxation (PBEsol).

For the total magnetization, the calculation gives 0.000 μB per atom. The calculation puts the density of states at the Fermi level at 4.222 states/eV/f.u. The volume is 21.9 Å³ per atom. Its crystal system is cubic.

a b c (Å): 4.784 4.784 4.784
angles (deg): 90.00 90.00 90.00
Positions (direct):
O  0.000  0.000  0.000
Bi  0.500  0.500  0.500
Hg  0.500  0.000  0.000
Hg  0.000  0.000  0.500
Hg  0.000  0.500  0.000

---

## b
Entry from Alexandria via LeMat-Bulk: Hg3BiO after structural relaxation (PBEsol).

For the total magnetization, the calculation gives 0.294 μB per atom. The calculation puts the density of states at the Fermi level at 10.204 states/eV/f.u. The volume is 39.6 Å³ per atom. Its crystal system is cubic.

a b c (Å): 5.827 5.827 5.827
angles (deg): 90.00 90.00 90.00
Positions (direct):
Hg  0.000  0.000  0.500
Hg  0.000  0.500  0.000
Hg  0.500  0.000  0.000
O  0.500  0.500  0.500
Bi  0.000  0.000  0.000

---

Most favorable structure: a. The second most favorable one is 0.535 eV/atom above it.

---

## a
Entry from Alexandria via LeMat-Bulk: HgBi2Pd2 after structural relaxation (PBEsol).

For the total magnetization, the calculation gives 0.000 μB per atom. The calculation puts the density of states at the Fermi level at 1.964 states/eV/f.u. The volume is 21.4 Å³ per atom. Its crystal system is tetragonal.

a b c (Å): 3.971 7.334 7.334
angles (deg): 90.00 90.00 90.00
Positions (direct):
Pd  0.000  0.864  0.636
Pd  0.000  0.364  0.864
Pd  0.000  0.636  0.136
Pd  0.000  0.136  0.364
Hg  0.000  0.000  0.000
Hg  0.000  0.500  0.500
Bi  0.500  0.662  0.838
Bi  0.500  0.162  0.662
Bi  0.500  0.338  0.162
Bi  0.500  0.838  0.338

---

## b
Entry from Alexandria via LeMat-Bulk: HgBi2Pd2 after structural relaxation (PBEsol).

For the total magnetization, the calculation gives 0.000 μB per atom. The calculation puts the density of states at the Fermi level at 2.445 states/eV/f.u. The volume is 23.3 Å³ per atom. Its crystal system is tetragonal.

a b c (Å): 3.901 3.901 8.144
angles (deg): 103.86 103.86 90.00
Positions (direct):
Bi  0.378  0.378  0.757
Bi  0.622  0.622  0.243
Pd  0.250  0.750  0.500
Pd  0.750  0.250  0.500
Hg  0.000  0.000  0.000

---

Most favorable structure: a. The second most favorable one is 0.112 eV/atom above it.

---

## a
Entry from Alexandria via LeMat-Bulk: RbHgBi3 after structural relaxation (PBEsol).

For the total magnetization, the calculation gives 0.000 μB per atom. The calculation puts the density of states at the Fermi level at 3.369 states/eV/f.u. The volume is 38.3 Å³ per atom. Its crystal system is cubic.

a b c (Å): 5.764 5.764 5.764
angles (deg): 90.00 90.00 90.00
Positions (direct):
Rb  0.500  0.500  0.500
Bi  0.000  0.000  0.500
Bi  0.000  0.500  0.000
Bi  0.500  0.000  0.000
Hg  0.000  0.000  0.000

---

## b
Entry from Alexandria via LeMat-Bulk: RbHgBi3 after structural relaxation (PBEsol).

For the total magnetization, the calculation gives 0.000 μB per atom. The calculation puts the density of states at the Fermi level at 6.534 states/eV/f.u. The volume is 44.0 Å³ per atom. Its crystal system is cubic.

a b c (Å): 6.037 6.037 6.037
angles (deg): 90.00 90.00 90.00
Positions (direct):
Hg  0.500  0.500  0.500
Bi  0.500  0.000  0.000
Bi  0.000  0.000  0.500
Bi  0.000  0.500  0.000
Rb  0.000  0.000  0.000

---

Most favorable structure: a. The second most favorable one is 1.014 eV/atom above it.